This record from Alexandria describes a geometry-optimized K2VHO4 structure. The functional is PBE+U.

Properties
DFT total energy (hartree per atom): -0.207
Space group: Fddd (70)
DOS(E_F) (states/eV/atom): 0.000

Unit cell a=11.4880 b=10.1467 c=6.1559 alpha=85.93 beta=61.76 gamma=32.31
Sites, in units of the cell vectors:
K1 0.0454 0.0454 0.7046
K2 0.2954 0.2954 0.9546
K3 0.7046 0.7046 0.0454
K4 0.9546 0.9546 0.2954
V1 0.3750 0.3750 0.3750
V2 0.6250 0.6250 0.6250
H1 0.1250 0.1250 0.1250
H2 0.8750 0.8750 0.8750
O1 0.0144 0.3310 0.4064
O2 0.2518 0.5936 0.6690
O3 0.3310 0.0144 0.7482
O4 0.4064 0.7482 0.0144
O5 0.5936 0.2518 0.9856
O6 0.6690 0.9856 0.2518
O7 0.7482 0.4064 0.3310
O8 0.9856 0.6690 0.5936